Entry 1:
# SrAlCl2

An optimized crystal structure of SrAlCl2 (PBE-GGA, the Alexandria database).

Cell: 3.9507 3.9507 28.3061 Å, 90.00 90.00 120.00°
Space group R3m (No. 160, hexagonal axes)
Symmetry-distinct sites (fractional):
Sr1 0.0000 0.0000 0.0000 (multiplicity 3)
Al1 0.0000 0.0000 0.7576 (multiplicity 3)
Cl1 0.0000 0.0000 0.2742 (multiplicity 3)
Cl2 0.0000 0.0000 0.4771 (multiplicity 3)

Calculated values
- Energy: -3.306 eV per atom
- M_tot: 0.00 μB/cell
- Density: 2415 kg/m³
- Crystal system: trigonal

Entry 2:
# TcSbRu2

An optimized crystal structure of TcSbRu2 (PBE-GGA, the Alexandria database).

Cell: 5.5649 5.5649 11.8973 Å, 90.00 90.00 90.00°
Space group I-42d (No. 122)
Symmetry-distinct sites (fractional):
Tc1 0.0000 0.0000 0.0000 (multiplicity 4)
Sb1 0.0000 0.0000 0.5000 (multiplicity 4)
Ru1 0.2152 0.2500 0.1250 (multiplicity 8)

Calculated values
- Energy: -7.454 eV per atom
- M_tot: 0.00 μB/cell
- Density: 7606 kg/m³
- Crystal system: tetragonal

Repeat the second record exactly.
# TcSbRu2

An optimized crystal structure of TcSbRu2 (PBE-GGA, the Alexandria database).

Cell: 5.5649 5.5649 11.8973 Å, 90.00 90.00 90.00°
Space group I-42d (No. 122)
Symmetry-distinct sites (fractional):
Tc1 0.0000 0.0000 0.0000 (multiplicity 4)
Sb1 0.0000 0.0000 0.5000 (multiplicity 4)
Ru1 0.2152 0.2500 0.1250 (multiplicity 8)

Calculated values
- Energy: -7.454 eV per atom
- M_tot: 0.00 μB/cell
- Density: 7606 kg/m³
- Crystal system: tetragonal

Question: What is the formula in the first record?
Answer: SrAlCl2